The following is a DFT calculation (PBE-GGA) of Mg6InGa5 after structural relaxation.

a b c (Å): 5.578 11.625 8.247
angles (deg): 90.00 106.95 90.00
Space group C2/m (No. 12)
Unique sites:
Mg 0.145 0.000 0.200
Mg 0.189 0.192 0.703
In 0.000 0.500 0.000
Ga 0.000 0.000 0.500
Ga 0.000 0.208 0.000
Ga 0.000 0.391 0.500

Values from the calculation:
Its size of the total moment is 0.0000 μB per atom. As for the density of states at the Fermi level: 0.304 states/eV per atom. The calculation puts the energy of formation at -0.064 eV/atom.

---

The following is a DFT calculation (PBE-GGA) of Mg2In3Ga4 after structural relaxation.

a b c (Å): 5.321 5.402 7.746
angles (deg): 92.66 93.66 117.04
Space group P-1 (No. 2)
Unique sites:
Mg 0.023 0.313 0.167
In 0.000 0.000 0.500
In 0.353 0.957 0.181
Ga 0.318 0.634 0.518
Ga 0.320 0.369 0.843

Values from the calculation:
Its size of the total moment is 0.0000 μB per atom. As for the density of states at the Fermi level: 0.254 states/eV per atom. The calculation puts the energy of formation at -0.030 eV/atom.

---

The following is a DFT calculation (PBE-GGA) of Mg2In3Ga after structural relaxation.

a b c (Å): 4.202 4.202 8.268
angles (deg): 90.00 90.00 90.00
Space group P-4m2 (No. 115)
Unique sites:
Mg 0.000 0.500 0.238
In 0.000 0.500 0.874
In 0.500 0.500 0.500
Ga 0.000 0.000 0.500

Values from the calculation:
Its size of the total moment is 0.0000 μB per atom. As for the density of states at the Fermi level: 0.334 states/eV per atom. The calculation puts the energy of formation at 0.010 eV/atom.

---

The following is a DFT calculation (PBE-GGA) of Mg8InGa2 after structural relaxation.

a b c (Å): 5.404 5.421 8.263
angles (deg): 92.11 96.61 98.98
Space group P-1 (No. 2)
Unique sites:
Mg 0.055 0.088 0.186
Mg 0.137 0.280 0.548
Mg 0.229 0.459 0.911
Mg 0.413 0.824 0.633
In 0.500 0.000 0.000
Ga 0.315 0.628 0.281

Values from the calculation:
Its size of the total moment is 0.0000 μB per atom. As for the density of states at the Fermi level: 0.405 states/eV per atom. The calculation puts the energy of formation at -0.064 eV/atom.

---

The following is a DFT calculation (PBE-GGA) of Mg2In3Ga after structural relaxation.

a b c (Å): 3.145 4.673 9.659
angles (deg): 90.00 90.00 90.00
Space group Pmm2 (No. 25)
Unique sites:
Mg 0.000 0.000 0.000
Mg 0.000 0.500 0.469
In 0.500 0.000 0.638
In 0.500 0.500 0.163
In 0.500 0.500 0.836
Ga 0.500 0.000 0.335

Values from the calculation:
Its size of the total moment is 0.0000 μB per atom. As for the density of states at the Fermi level: 0.299 states/eV per atom. The calculation puts the energy of formation at -0.033 eV/atom.

---

The following is a DFT calculation (PBE-GGA) of Mg2In8Ga after structural relaxation.

a b c (Å): 4.692 4.692 12.875
angles (deg): 90.00 90.00 90.00
Space group P4/mmm (No. 123)
Unique sites:
Mg 0.000 0.000 0.174
In 0.000 0.500 0.000
In 0.000 0.500 0.358
In 0.500 0.500 0.182
Ga 0.000 0.000 0.500

Values from the calculation:
Its size of the total moment is 0.0000 μB per atom. As for the density of states at the Fermi level: 0.468 states/eV per atom. The calculation puts the energy of formation at -0.001 eV/atom.

---

The following is a DFT calculation (PBE-GGA) of Mg6InGa3 after structural relaxation.

a b c (Å): 9.371 4.523 9.763
angles (deg): 90.00 92.33 90.00
Space group P2_1/m (No. 11)
Unique sites:
Mg 0.034 0.250 0.397
Mg 0.127 0.750 0.192
Mg 0.230 0.250 0.979
Mg 0.329 0.750 0.781
Mg 0.342 0.250 0.292
Mg 0.445 0.250 0.595
In 0.444 0.750 0.099
Ga 0.045 0.750 0.898
Ga 0.154 0.250 0.677
Ga 0.252 0.750 0.481

Values from the calculation:
Its size of the total moment is 0.0000 μB per atom. As for the density of states at the Fermi level: 0.323 states/eV per atom. The calculation puts the energy of formation at -0.112 eV/atom.

---

The following is a DFT calculation (PBE-GGA) of Mg4InGa after structural relaxation.

a b c (Å): 10.291 3.223 8.737
angles (deg): 90.00 115.87 90.00
Space group C2/m (No. 12)
Unique sites:
Mg 0.160 0.000 0.341
Mg 0.166 0.000 0.821
In 0.000 0.500 0.000
Ga 0.000 0.500 0.500

Values from the calculation:
Its size of the total moment is 0.0000 μB per atom. As for the density of states at the Fermi level: 0.302 states/eV per atom. The calculation puts the energy of formation at -0.085 eV/atom.

---

The following is a DFT calculation (PBE-GGA) of Mg6InGa3 after structural relaxation.

a b c (Å): 10.000 14.336 6.159
angles (deg): 90.00 90.00 90.00
Space group Cmc2_1 (No. 36)
Unique sites:
Mg 0.000 0.046 0.000
Mg 0.000 0.272 0.826
Mg 0.193 0.476 0.825
Mg 0.242 0.304 0.515
In 0.000 0.220 0.294
Ga 0.000 0.411 0.514
Ga 0.143 0.118 0.628

Values from the calculation:
Its size of the total moment is 0.0000 μB per atom. As for the density of states at the Fermi level: 0.170 states/eV per atom. The calculation puts the energy of formation at -0.079 eV/atom.

---

The following is a DFT calculation (PBE-GGA) of Mg8InGa5 after structural relaxation.

a b c (Å): 8.316 8.316 8.693
angles (deg): 90.00 90.00 90.00
Space group I-4 (No. 82)
Unique sites:
Mg 0.073 0.321 0.087
Mg 0.084 0.165 0.739
In 0.000 0.500 0.750
Ga 0.000 0.000 0.000
Ga 0.115 0.227 0.422

Values from the calculation:
Its size of the total moment is 0.0000 μB per atom. As for the density of states at the Fermi level: 0.573 states/eV per atom. The calculation puts the energy of formation at -0.047 eV/atom.

---

The following is a DFT calculation (PBE-GGA) of Mg6In8Ga after structural relaxation.

a b c (Å): 7.9700 7.9700 20.2219
angles (deg): 90.00 90.00 120.00
Space group R-3 (No. 148, hexagonal axes)
Unique sites:
Mg 0.0144 0.2627 0.2118
In 0.0000 0.0000 0.1039
In 0.0401 0.7685 0.6277
Ga 0.0000 0.0000 0.5000

Values from the calculation:
Its size of the total moment is 0.0000 μB per atom. As for the density of states at the Fermi level: 0.363 states/eV per atom. The calculation puts the energy of formation at -0.018 eV/atom.

---

The following is a DFT calculation (PBE-GGA) of MgIn2Ga3 after structural relaxation.

a b c (Å): 6.279 8.756 9.705
angles (deg): 90.00 101.83 90.00
Space group C2/c (No. 15)
Unique sites:
Mg 0.000 0.138 0.250
In 0.162 0.128 0.595
Ga 0.000 0.391 0.750
Ga 0.165 0.379 0.070

Values from the calculation:
Its size of the total moment is 0.0000 μB per atom. As for the density of states at the Fermi level: 0.220 states/eV per atom. The calculation puts the energy of formation at -0.020 eV/atom.

---

| no. | uncorrected energy (eV per atom) |
| --- | --- |
| 1 | -2.35 |
| 2 | -2.64 |
| 3 | -2.39 |
| 4 | -2.02 |
| 5 | -2.44 |
| 6 | -2.56 |
| 7 | -2.25 |
| 8 | -2.11 |
| 9 | -2.22 |
| 10 | -2.23 |
| 11 | -2.32 |
| 12 | -2.71 |